Arrangement w

The following is a PBE calculation of a relaxed Mg2ScH crystal, from Alexandria.

```
data_Mg2ScH
_space_group_name_H-M_alt 'F m -3 m'
_space_group_IT_number 225
_space_group_name_Hall '-F 4 2 3'
_cell_length_a 6.9067
_cell_length_b 6.9067
_cell_length_c 6.9067
_cell_angle_alpha 90.00
_cell_angle_beta 90.00
_cell_angle_gamma 90.00
loop_
_atom_site_label
_atom_site_fract_x
_atom_site_fract_y
_atom_site_fract_z
Mg1 0.2500 0.2500 0.2500
Sc1 0.0000 0.0000 0.0000
H1 0.0000 0.0000 0.5000
```

density of states at the Fermi level: 0.77 states/eV per atom


Arrangement x

The following is a PBE calculation of a relaxed Mg2ScH crystal, from Alexandria.

```
data_Mg2ScH
_space_group_name_H-M_alt 'I -4 2 d'
_space_group_IT_number 122
_space_group_name_Hall 'I -4 2bw'
_cell_length_a 5.9945
_cell_length_b 5.9945
_cell_length_c 8.4845
_cell_angle_alpha 90.00
_cell_angle_beta 90.00
_cell_angle_gamma 90.00
loop_
_atom_site_label
_atom_site_fract_x
_atom_site_fract_y
_atom_site_fract_z
Mg1 0.0051 0.2500 0.1250
Sc1 0.0000 0.0000 0.5000
H1 0.0000 0.0000 0.0000
```

density of states at the Fermi level: 1.04 states/eV per atom


Most stable: arrangement x (next structure +55.3 kJ/mol of atoms)


Arrangement w

The following is a PBE calculation of a relaxed SrMgScH2 crystal, from Alexandria.

```
data_SrMgScH2
_space_group_name_H-M_alt 'P 4/m m m'
_space_group_IT_number 123
_space_group_name_Hall '-P 4 2'
_cell_length_a 4.3652
_cell_length_b 4.3652
_cell_length_c 5.9491
_cell_angle_alpha 90.00
_cell_angle_beta 90.00
_cell_angle_gamma 90.00
loop_
_atom_site_label
_atom_site_fract_x
_atom_site_fract_y
_atom_site_fract_z
Sr1 0.0000 0.0000 0.0000
Mg1 0.5000 0.5000 0.0000
Sc1 0.5000 0.5000 0.5000
H1 0.0000 0.5000 0.5000
```

density of states at the Fermi level: 0.77 states/eV per atom


Arrangement x

The following is a PBE calculation of a relaxed SrMgScH2 crystal, from Alexandria.

```
data_SrMgScH2
_space_group_name_H-M_alt 'P 4/m m m'
_space_group_IT_number 123
_space_group_name_Hall '-P 4 2'
_cell_length_a 4.3520
_cell_length_b 4.3520
_cell_length_c 6.9067
_cell_angle_alpha 90.00
_cell_angle_beta 90.00
_cell_angle_gamma 90.00
loop_
_atom_site_label
_atom_site_fract_x
_atom_site_fract_y
_atom_site_fract_z
Sr1 0.0000 0.0000 0.0000
Mg1 0.0000 0.0000 0.5000
Sc1 0.5000 0.5000 0.0000
H1 0.0000 0.5000 0.5000
```

density of states at the Fermi level: 1.00 states/eV per atom


Most stable: arrangement w (next structure +67.0 kJ/mol of atoms)


Arrangement w

The following is a PBE calculation of a relaxed MgZr2ScH crystal, from Alexandria.

```
data_MgZr2ScH
_space_group_name_H-M_alt 'P 4/m m m'
_space_group_IT_number 123
_space_group_name_Hall '-P 4 2'
_cell_length_a 4.4689
_cell_length_b 4.4689
_cell_length_c 4.5660
_cell_angle_alpha 90.00
_cell_angle_beta 90.00
_cell_angle_gamma 90.00
loop_
_atom_site_label
_atom_site_fract_x
_atom_site_fract_y
_atom_site_fract_z
Mg1 0.0000 0.0000 0.0000
Zr1 0.0000 0.5000 0.5000
Sc1 0.5000 0.5000 0.0000
H1 0.0000 0.0000 0.5000
```

density of states at the Fermi level: 1.03 states/eV per atom


Arrangement x

The following is a PBE calculation of a relaxed MgZr2ScH crystal, from Alexandria.

```
data_MgZr2ScH
_space_group_name_H-M_alt 'P 4/m m m'
_space_group_IT_number 123
_space_group_name_Hall '-P 4 2'
_cell_length_a 4.4899
_cell_length_b 4.4899
_cell_length_c 4.5491
_cell_angle_alpha 90.00
_cell_angle_beta 90.00
_cell_angle_gamma 90.00
loop_
_atom_site_label
_atom_site_fract_x
_atom_site_fract_y
_atom_site_fract_z
Mg1 0.0000 0.0000 0.0000
Zr1 0.0000 0.5000 0.5000
Sc1 0.5000 0.5000 0.0000
H1 0.5000 0.5000 0.5000
```

density of states at the Fermi level: 1.35 states/eV per atom


Most stable: arrangement x (next structure +3.8 kJ/mol of atoms)


Arrangement w

The following is a PBE calculation of a relaxed Mg3HSe crystal, from Alexandria.

```
data_Mg3HSe
_space_group_name_H-M_alt 'P m -3 m'
_space_group_IT_number 221
_space_group_name_Hall '-P 4 2 3'
_cell_length_a 5.2352
_cell_length_b 5.2352
_cell_length_c 5.2352
_cell_angle_alpha 90.00
_cell_angle_beta 90.00
_cell_angle_gamma 90.00
loop_
_atom_site_label
_atom_site_fract_x
_atom_site_fract_y
_atom_site_fract_z
Mg1 0.0000 0.0000 0.5000
H1 0.5000 0.5000 0.5000
Se1 0.0000 0.0000 0.0000
```

density of states at the Fermi level: 0.78 states/eV per atom


Arrangement x

The following is a PBE calculation of a relaxed Mg3HSe crystal, from Alexandria.

```
data_Mg3HSe
_space_group_name_H-M_alt 'P m -3 m'
_space_group_IT_number 221
_space_group_name_Hall '-P 4 2 3'
_cell_length_a 4.4869
_cell_length_b 4.4869
_cell_length_c 4.4869
_cell_angle_alpha 90.00
_cell_angle_beta 90.00
_cell_angle_gamma 90.00
loop_
_atom_site_label
_atom_site_fract_x
_atom_site_fract_y
_atom_site_fract_z
Mg1 0.0000 0.0000 0.5000
H1 0.0000 0.0000 0.0000
Se1 0.5000 0.5000 0.5000
```

density of states at the Fermi level: 0.29 states/eV per atom


Most stable: arrangement x (next structure +56.2 kJ/mol of atoms)


Arrangement w

The following is a PBE calculation of a relaxed MgH2Se crystal, from Alexandria.

```
data_MgH2Se
_space_group_name_H-M_alt 'I -4 2 d'
_space_group_IT_number 122
_space_group_name_Hall 'I -4 2bw'
_cell_length_a 4.5784
_cell_length_b 4.5784
_cell_length_c 10.0551
_cell_angle_alpha 90.00
_cell_angle_beta 90.00
_cell_angle_gamma 90.00
loop_
_atom_site_label
_atom_site_fract_x
_atom_site_fract_y
_atom_site_fract_z
Mg1 0.0000 0.0000 0.0000
H1 0.1762 0.2500 0.1250
Se1 0.0000 0.0000 0.5000
```

density of states at the Fermi level: 0.06 states/eV per atom


Arrangement x

The following is a PBE calculation of a relaxed MgH2Se crystal, from Alexandria.

```
data_MgH2Se
_space_group_name_H-M_alt 'F m -3 m'
_space_group_IT_number 225
_space_group_name_Hall '-F 4 2 3'
_cell_length_a 5.6347
_cell_length_b 5.6347
_cell_length_c 5.6347
_cell_angle_alpha 90.00
_cell_angle_beta 90.00
_cell_angle_gamma 90.00
loop_
_atom_site_label
_atom_site_fract_x
_atom_site_fract_y
_atom_site_fract_z
Mg1 0.0000 0.0000 0.0000
H1 0.2500 0.2500 0.2500
Se1 0.0000 0.0000 0.5000
```

density of states at the Fermi level: 0.13 states/eV per atom


Most stable: arrangement x (next structure +1.4 kJ/mol of atoms)


Arrangement w

The following is a PBE calculation of a relaxed MgHSe3 crystal, from Alexandria.

```
data_MgHSe3
_space_group_name_H-M_alt 'P m -3 m'
_space_group_IT_number 221
_space_group_name_Hall '-P 4 2 3'
_cell_length_a 4.4284
_cell_length_b 4.4284
_cell_length_c 4.4284
_cell_angle_alpha 90.00
_cell_angle_beta 90.00
_cell_angle_gamma 90.00
loop_
_atom_site_label
_atom_site_fract_x
_atom_site_fract_y
_atom_site_fract_z
Mg1 0.0000 0.0000 0.0000
H1 0.5000 0.5000 0.5000
Se1 0.0000 0.5000 0.5000
```

density of states at the Fermi level: 0.63 states/eV per atom


Arrangement x

The following is a PBE calculation of a relaxed MgHSe3 crystal, from Alexandria.

```
data_MgHSe3
_space_group_name_H-M_alt 'P m -3 m'
_space_group_IT_number 221
_space_group_name_Hall '-P 4 2 3'
_cell_length_a 5.0871
_cell_length_b 5.0871
_cell_length_c 5.0871
_cell_angle_alpha 90.00
_cell_angle_beta 90.00
_cell_angle_gamma 90.00
loop_
_atom_site_label
_atom_site_fract_x
_atom_site_fract_y
_atom_site_fract_z
Mg1 0.0000 0.0000 0.0000
H1 0.5000 0.5000 0.5000
Se1 0.0000 0.0000 0.5000
```

density of states at the Fermi level: 1.40 states/eV per atom


Most stable: arrangement w (next structure +28.3 kJ/mol of atoms)